A relaxed ScTlHg crystal, computed with PBE.

Properties
Energy above the lowest structure with this stoichiometry, eV/f.u.: 0.020
Space group: Pnma (62)
Energy relative to the elements, eV/atom: -0.203

Cell lengths 6.491, 4.687, 9.228 Å; angles 90.00, 90.00, 90.00 degrees
Positions (direct):
Sc (0.163, 0.250, 0.091)
Sc (0.337, 0.750, 0.591)
Sc (0.663, 0.250, 0.409)
Sc (0.837, 0.750, 0.909)
Tl (0.062, 0.250, 0.753)
Tl (0.438, 0.750, 0.253)
Tl (0.562, 0.250, 0.747)
Tl (0.938, 0.750, 0.247)
Hg (0.166, 0.250, 0.422)
Hg (0.334, 0.750, 0.922)
Hg (0.666, 0.250, 0.078)
Hg (0.834, 0.750, 0.578)



A relaxed ScTlHg crystal, computed with PBE.

Properties
Energy above the lowest structure with this stoichiometry, eV/f.u.: 0.156
Space group: P3m1 (156)
Energy relative to the elements, eV/atom: -0.158

Cell lengths 4.814, 4.814, 3.566 Å; angles 90.00, 90.00, 120.00 degrees
Positions (direct):
Sc (0.000, 0.000, 0.000)
Tl (0.333, 0.667, 0.384)
Hg (0.667, 0.333, 0.667)



A relaxed YScTlHg crystal, computed with PBE.

Properties
Space group: F-43m (216)
Energy relative to the elements, eV/atom: -0.386

Cell lengths 5.190, 5.190, 5.190 Å; angles 60.00, 60.00, 60.00 degrees
Positions (direct):
Y (0.000, 0.000, 0.000)
Sc (0.500, 0.500, 0.500)
Tl (0.750, 0.750, 0.750)
Hg (0.250, 0.250, 0.250)



A relaxed ScTlZnHg crystal, computed with PBE.

Properties
Space group: F-43m (216)
Energy relative to the elements, eV/atom: -0.106

Cell lengths 4.946, 4.946, 4.946 Å; angles 60.00, 60.00, 60.00 degrees
Positions (direct):
Sc (0.000, 0.000, 0.000)
Tl (0.250, 0.250, 0.250)
Zn (0.500, 0.500, 0.500)
Hg (0.750, 0.750, 0.750)



A relaxed Sc4Tl2ZnHg crystal, computed with PBE.

Properties
Space group: R-3m (166)
Energy relative to the elements, eV/atom: -0.321

Cell lengths 8.635, 8.635, 8.635 Å; angles 33.55, 33.55, 33.55 degrees
Positions (direct):
Sc (0.123, 0.123, 0.123)
Sc (0.374, 0.374, 0.374)
Sc (0.626, 0.626, 0.626)
Sc (0.877, 0.877, 0.877)
Tl (0.251, 0.251, 0.251)
Tl (0.749, 0.749, 0.749)
Zn (0.000, 0.000, 0.000)
Hg (0.500, 0.500, 0.500)



A relaxed ZrScTlHg crystal, computed with PBE.

Properties
Energy above the lowest structure with this stoichiometry, eV/f.u.: 0.100
Space group: F-43m (216)
Energy relative to the elements, eV/atom: -0.186

Cell lengths 5.027, 5.027, 5.027 Å; angles 60.00, 60.00, 60.00 degrees
Positions (direct):
Zr (0.000, 0.000, 0.000)
Sc (0.500, 0.500, 0.500)
Tl (0.750, 0.750, 0.750)
Hg (0.250, 0.250, 0.250)



A relaxed ZrScTlHg crystal, computed with PBE.

Properties
Energy above the lowest structure with this stoichiometry, eV/f.u.: 0.000
Space group: Pmmm (47)
Energy relative to the elements, eV/atom: -0.210

Cell lengths 4.197, 4.571, 4.653 Å; angles 90.00, 90.00, 90.00 degrees
Positions (direct):
Zr (0.000, 0.000, 0.000)
Sc (0.000, 0.500, 0.500)
Tl (0.500, 0.500, 0.000)
Hg (0.500, 0.000, 0.500)



A relaxed Tm2Sc2Hg crystal, computed with PBE.

Properties
Space group: I4_1/amd (141)
Energy relative to the elements, eV/atom: -0.006

Cell lengths 12.438, 12.438, 12.438 Å; angles 157.55, 157.55, 31.96 degrees
Positions (direct):
Tm (0.050, 0.300, 0.750)
Tm (0.300, 0.050, 0.250)
Tm (0.700, 0.950, 0.750)
Tm (0.950, 0.700, 0.250)
Sc (0.200, 0.450, 0.750)
Sc (0.450, 0.200, 0.250)
Sc (0.550, 0.800, 0.750)
Sc (0.800, 0.550, 0.250)
Hg (0.125, 0.875, 0.250)
Hg (0.875, 0.125, 0.750)